# 1
A plane-wave DFT calculation with PBE was carried out for crystalline Sm2AlSi3Ni4 at its relaxed geometry.

Results
Magnetization ... 0.00 μB per formula unit
ΔE_f (raw) ... -76 kJ/mol of atoms
DOS at the Fermi energy ... 5.741 states/eV/cell
Total DFT energy (no corrections) ... -6.050 eV/atom

The structure in POSCAR format:
```
Sm2AlSi3Ni4
1.0
4.0317 0.0000 0.0000
0.0000 4.0317 0.0000
0.0000 0.0000 9.6692
Si Sm Ni Al
3 2 4 1
direct
0.0000 0.5000 0.1240 Si
0.5000 0.0000 0.8760 Si
0.0000 0.0000 0.5000 Si
0.0000 0.5000 0.7539 Sm
0.5000 0.0000 0.2461 Sm
0.5000 0.5000 0.0000 Ni
0.0000 0.0000 0.0000 Ni
0.0000 0.5000 0.3653 Ni
0.5000 0.0000 0.6347 Ni
0.5000 0.5000 0.5000 Al
```

***

# 2
A plane-wave DFT calculation with PBE was carried out for crystalline Sm2AlSiNi6 at its relaxed geometry.

Results
Magnetization ... 0.00 μB per formula unit
ΔE_f (raw) ... -43 kJ/mol of atoms
DOS at the Fermi energy ... 6.464 states/eV/cell
Total DFT energy (no corrections) ... -5.772 eV/atom

The structure in POSCAR format:
```
Sm2AlSiNi6
1.0
-1.9921 -5.5410 -1.6997
5.7148 -0.3690 -2.7379
5.1577 -3.5529 1.0402
Sm Ni Al Si
2 6 1 1
direct
0.2029 0.7481 0.5449 Sm
0.7971 0.2519 0.4551 Sm
0.2594 0.7666 0.0059 Ni
0.2594 0.2656 0.5069 Ni
0.7406 0.2334 0.9941 Ni
0.4092 0.2504 0.8404 Ni
0.7406 0.7344 0.4931 Ni
0.5908 0.7496 0.1596 Ni
0.5000 0.5000 0.0000 Al
0.0000 0.0000 0.0000 Si
```

***

# 3
A plane-wave DFT calculation with PBE was carried out for crystalline SmAl2SiNi4 at its relaxed geometry.

Results
Magnetization ... 0.00 μB per formula unit
ΔE_f (raw) ... -54 kJ/mol of atoms
DOS at the Fermi energy ... 3.807 states/eV/cell
Total DFT energy (no corrections) ... -5.656 eV/atom

The structure in POSCAR format:
```
SmAl2SiNi4
1.0
-2.0634 -2.5064 2.3743
-2.8723 -2.3423 -1.5622
4.0190 -7.6189 -1.1435
Sm Al Si Ni
1 2 1 4
direct
0.0000 0.0000 0.0000 Sm
0.7605 0.7605 0.7186 Al
0.2395 0.2395 0.2814 Al
0.5000 0.5000 0.5000 Si
0.5903 0.5903 0.2292 Ni
0.4097 0.4097 0.7708 Ni
0.1374 0.1374 0.5878 Ni
0.8626 0.8626 0.4122 Ni
```

***

# 4
A plane-wave DFT calculation with PBE was carried out for crystalline SmAl2SiNi2 at its relaxed geometry.

Results
Magnetization ... 0.00 μB per formula unit
ΔE_f (raw) ... -44 kJ/mol of atoms
DOS at the Fermi energy ... 3.165 states/eV/cell
Total DFT energy (no corrections) ... -5.323 eV/atom

The structure in POSCAR format:
```
SmAl2SiNi2
1.0
4.2865 0.0000 0.0000
0.0000 4.2865 0.0000
0.0000 0.0000 5.5887
Al Ni Si Sm
2 2 1 1
direct
0.5000 0.5000 0.7444 Al
0.5000 0.5000 0.2556 Al
0.5000 0.0000 0.0000 Ni
0.0000 0.5000 0.0000 Ni
0.0000 0.0000 0.0000 Si
0.0000 0.0000 0.5000 Sm
```

***

# 5
A plane-wave DFT calculation with PBE was carried out for crystalline Tb2AlSi3Ni12 at its relaxed geometry.

Results
Magnetization ... 0.00 μB per formula unit
ΔE_f (raw) ... -22 kJ/mol of atoms
DOS at the Fermi energy ... 12.850 states/eV/cell
Total DFT energy (no corrections) ... -5.706 eV/atom

The structure in POSCAR format:
```
Tb2AlSi3Ni12
1.0
-6.0216 0.3181 1.6838
-2.3029 -1.2794 -5.6794
-0.6975 -6.1439 0.9808
Ni Tb Si Al
12 2 3 1
direct
0.6158 0.6158 0.0957 Ni
0.0957 0.6158 0.6158 Ni
0.3842 0.9043 0.3842 Ni
0.2938 0.8145 0.8145 Ni
0.3842 0.3842 0.9043 Ni
0.6158 0.0957 0.6158 Ni
0.9043 0.3842 0.3842 Ni
0.1855 0.1855 0.7062 Ni
0.7062 0.1855 0.1855 Ni
0.8145 0.8145 0.2938 Ni
0.1855 0.7062 0.1855 Ni
0.8145 0.2938 0.8145 Ni
0.3472 0.3472 0.3472 Tb
0.6528 0.6528 0.6528 Tb
0.5000 0.0000 0.0000 Si
0.0000 0.0000 0.5000 Si
0.0000 0.5000 0.0000 Si
0.0000 0.0000 0.0000 Al
```

***

# 6
A plane-wave DFT calculation with PBE was carried out for crystalline Tb3AlSi6Ni2 at its relaxed geometry.

Results
Magnetization ... 0.00 μB per formula unit
ΔE_f (raw) ... -28 kJ/mol of atoms
DOS at the Fermi energy ... 3.580 states/eV/cell
Total DFT energy (no corrections) ... -5.432 eV/atom

The structure in POSCAR format:
```
Tb3AlSi6Ni2
1.0
-2.0122 -4.3867 -2.9150
5.4888 0.2674 1.2616
-1.4053 -3.9787 6.9574
Tb Si Al Ni
3 6 1 2
direct
0.3333 0.6667 0.6066 Tb
0.0000 0.0000 0.0000 Tb
0.6667 0.3333 0.3934 Tb
0.8107 0.6213 0.7264 Si
0.8107 0.1893 0.7264 Si
0.1893 0.8107 0.2736 Si
0.1893 0.3787 0.2736 Si
0.3787 0.1893 0.7264 Si
0.6213 0.8107 0.2736 Si
0.0000 0.0000 0.5000 Al
0.3333 0.6667 0.0472 Ni
0.6667 0.3333 0.9528 Ni
```

***

# 7
A plane-wave DFT calculation with PBE was carried out for crystalline Tb3AlSi2Ni9 at its relaxed geometry.

Results
Magnetization ... 0.00 μB per formula unit
ΔE_f (raw) ... -30 kJ/mol of atoms
DOS at the Fermi energy ... 7.772 states/eV/cell
Total DFT energy (no corrections) ... -5.682 eV/atom

The structure in POSCAR format:
```
Tb3AlSi2Ni9
1.0
5.8233 0.0000 0.0000
-2.9116 5.0431 0.0000
0.0000 0.0000 8.4995
Ni Si Tb Al
9 2 3 1
direct
0.0000 0.5000 0.0000 Ni
0.8611 0.1389 0.7211 Ni
0.5000 0.0000 0.0000 Ni
0.2779 0.1389 0.7211 Ni
0.8611 0.7221 0.7211 Ni
0.1389 0.2779 0.2789 Ni
0.7221 0.8611 0.2789 Ni
0.5000 0.5000 0.0000 Ni
0.1389 0.8611 0.2789 Ni
0.3333 0.6667 0.1765 Si
0.6667 0.3333 0.8235 Si
0.6667 0.3333 0.3239 Tb
0.0000 0.0000 0.0000 Tb
0.3333 0.6667 0.6761 Tb
0.0000 0.0000 0.5000 Al
```

***

# 8
A plane-wave DFT calculation with PBE was carried out for crystalline Tb2AlSi2Ni5 at its relaxed geometry.

Results
Magnetization ... 0.00 μB per formula unit
ΔE_f (raw) ... -49 kJ/mol of atoms
DOS at the Fermi energy ... 15.728 states/eV/cell
Total DFT energy (no corrections) ... -5.781 eV/atom

The structure in POSCAR format:
```
Tb2AlSi2Ni5
1.0
3.0094 0.0000 0.0000
0.0000 9.8997 0.0000
0.0000 0.0000 9.8997
Ni Si Tb Al
10 4 4 2
direct
0.5000 0.2963 0.5561 Ni
0.5000 0.0561 0.7963 Ni
0.5000 0.7037 0.4439 Ni
0.5000 0.5561 0.7037 Ni
0.5000 0.4439 0.2963 Ni
0.5000 0.2037 0.0561 Ni
0.5000 0.7963 0.9439 Ni
0.5000 0.0000 0.5000 Ni
0.5000 0.9439 0.2037 Ni
0.5000 0.5000 0.0000 Ni
0.0000 0.8752 0.3752 Si
0.0000 0.1248 0.6248 Si
0.0000 0.6248 0.8752 Si
0.0000 0.3752 0.1248 Si
0.0000 0.1763 0.3237 Tb
0.0000 0.6763 0.1763 Tb
0.0000 0.3237 0.8237 Tb
0.0000 0.8237 0.6763 Tb
0.0000 0.5000 0.5000 Al
0.0000 0.0000 0.0000 Al
```

***

# 9
A plane-wave DFT calculation with PBE was carried out for crystalline TbAl2SiNi4 at its relaxed geometry.

Results
Magnetization ... 0.00 μB per formula unit
ΔE_f (raw) ... -55 kJ/mol of atoms
DOS at the Fermi energy ... 3.854 states/eV/cell
Total DFT energy (no corrections) ... -5.657 eV/atom

The structure in POSCAR format:
```
TbAl2SiNi4
1.0
-1.4592 -3.1145 -2.0740
1.5304 -0.9092 -3.6003
5.5216 -6.3085 1.7000
Ni Al Si Tb
4 2 1 1
direct
0.8631 0.8631 0.4107 Ni
0.5917 0.5917 0.2249 Ni
0.1369 0.1369 0.5893 Ni
0.4083 0.4083 0.7751 Ni
0.7590 0.7590 0.7229 Al
0.2410 0.2410 0.2771 Al
0.5000 0.5000 0.5000 Si
0.0000 0.0000 0.0000 Tb
```

***

# 10
A plane-wave DFT calculation with PBE was carried out for crystalline TbAlSi2Ni4 at its relaxed geometry.

Results
Magnetization ... 0.00 μB per formula unit
ΔE_f (raw) ... -59 kJ/mol of atoms
DOS at the Fermi energy ... 5.364 states/eV/cell
Total DFT energy (no corrections) ... -5.899 eV/atom

The structure in POSCAR format:
```
TbAlSi2Ni4
1.0
3.9484 0.0000 0.0000
1.9742 3.4194 0.0000
1.9742 1.1398 8.2279
Tb Ni Al Si
1 4 1 2
direct
0.0000 0.0000 0.0000 Tb
0.8672 0.8672 0.3983 Ni
0.1328 0.1328 0.6017 Ni
0.5930 0.5930 0.2209 Ni
0.4070 0.4070 0.7791 Ni
0.5000 0.5000 0.5000 Al
0.7572 0.7572 0.7284 Si
0.2428 0.2428 0.2716 Si
```

***

# 11
A plane-wave DFT calculation with PBE was carried out for crystalline Tb2AlSiNi6 at its relaxed geometry.

Results
Magnetization ... 0.00 μB per formula unit
ΔE_f (raw) ... -44 kJ/mol of atoms
DOS at the Fermi energy ... 5.919 states/eV/cell
Total DFT energy (no corrections) ... -5.768 eV/atom

The structure in POSCAR format:
```
Tb2AlSiNi6
1.0
0.7459 5.8088 2.2849
-2.3778 -2.5477 4.9860
3.7002 2.4817 4.4347
Ni Si Tb Al
6 1 2 1
direct
0.2502 0.4118 0.8380 Ni
0.7612 0.2538 0.0062 Ni
0.2606 0.2541 0.5070 Ni
0.7394 0.7459 0.4930 Ni
0.7498 0.5882 0.1620 Ni
0.2388 0.7462 0.9938 Ni
0.0000 0.0000 0.0000 Si
0.2517 0.7941 0.4580 Tb
0.7483 0.2059 0.5420 Tb
0.5000 0.5000 0.0000 Al
```

***

# 12
A plane-wave DFT calculation with PBE was carried out for crystalline Tb2AlSi3Ni4 at its relaxed geometry.

Results
Magnetization ... 0.00 μB per formula unit
ΔE_f (raw) ... -79 kJ/mol of atoms
DOS at the Fermi energy ... 5.790 states/eV/cell
Total DFT energy (no corrections) ... -6.057 eV/atom

The structure in POSCAR format:
```
Tb2AlSi3Ni4
1.0
-0.3672 -2.2569 -3.2640
3.5921 1.2042 -1.2367
4.0832 -7.3984 4.6563
Si Tb Ni Al
3 2 4 1
direct
0.0000 0.5000 0.1254 Si
0.0000 0.0000 0.5000 Si
0.5000 0.0000 0.8746 Si
0.0000 0.5000 0.7540 Tb
0.5000 0.0000 0.2460 Tb
0.5000 0.5000 0.0000 Ni
0.0000 0.0000 0.0000 Ni
0.5000 0.0000 0.6362 Ni
0.0000 0.5000 0.3638 Ni
0.5000 0.5000 0.5000 Al
```

***

# 13
A plane-wave DFT calculation with PBE was carried out for crystalline TbAlSi2Ni5 at its relaxed geometry.

Results
Magnetization ... 0.00 μB per formula unit
ΔE_f (raw) ... -28 kJ/mol of atoms
DOS at the Fermi energy ... 3.925 states/eV/cell
Total DFT energy (no corrections) ... -5.639 eV/atom

The structure in POSCAR format:
```
TbAlSi2Ni5
1.0
-0.3576 -3.9109 -1.2347
-0.5111 -1.1873 3.9085
-7.4268 0.8994 -0.6979
Ni Al Si Tb
5 1 2 1
direct
0.5000 0.0000 0.2593 Ni
0.0000 0.5000 0.2593 Ni
0.5000 0.5000 0.5000 Ni
0.0000 0.5000 0.7407 Ni
0.5000 0.0000 0.7407 Ni
0.0000 0.0000 0.0000 Al
0.5000 0.5000 0.8485 Si
0.5000 0.5000 0.1515 Si
0.0000 0.0000 0.5000 Tb
```

***

# 14
A plane-wave DFT calculation with PBE was carried out for crystalline ThAlSi2Ni5 at its relaxed geometry.

Results
Magnetization ... 0.00 μB per formula unit
ΔE_f (raw) ... -33 kJ/mol of atoms
DOS at the Fermi energy ... 6.240 states/eV/cell
Total DFT energy (no corrections) ... -6.000 eV/atom

The structure in POSCAR format:
```
ThAlSi2Ni5
1.0
3.8005 0.0000 0.0000
0.0000 3.8005 0.0000
0.0000 0.0000 9.8392
Al Ni Si Th
1 5 2 1
direct
0.0000 0.0000 0.0000 Al
0.0000 0.5000 0.1511 Ni
0.0000 0.5000 0.8489 Ni
0.5000 0.5000 0.5000 Ni
0.5000 0.0000 0.1511 Ni
0.5000 0.0000 0.8489 Ni
0.5000 0.5000 0.7242 Si
0.5000 0.5000 0.2758 Si
0.0000 0.0000 0.5000 Th
```

***

# 15
A plane-wave DFT calculation with PBE was carried out for crystalline ThAl2SiNi2 at its relaxed geometry.

Results
Magnetization ... 0.00 μB per formula unit
ΔE_f (raw) ... -41 kJ/mol of atoms
DOS at the Fermi energy ... 2.380 states/eV/cell
Total DFT energy (no corrections) ... -5.737 eV/atom

The structure in POSCAR format:
```
ThAl2SiNi2
1.0
4.3097 0.0000 0.0000
0.0000 4.3097 0.0000
0.0000 0.0000 5.6295
Th Al Si Ni
1 2 1 2
direct
0.0000 0.0000 0.5000 Th
0.5000 0.5000 0.2569 Al
0.5000 0.5000 0.7431 Al
0.0000 0.0000 0.0000 Si
0.5000 0.0000 0.0000 Ni
0.0000 0.5000 0.0000 Ni
```

***

# 16
A plane-wave DFT calculation with PBE was carried out for crystalline Th2AlSi3Ni4 at its relaxed geometry.

Results
Magnetization ... 0.00 μB per formula unit
ΔE_f (raw) ... -80 kJ/mol of atoms
DOS at the Fermi energy ... 5.802 states/eV/cell
Total DFT energy (no corrections) ... -6.626 eV/atom

The structure in POSCAR format:
```
Th2AlSi3Ni4
1.0
-2.6753 -2.0523 -2.2957
2.4473 0.4286 -3.2351
4.4422 -8.3170 2.2585
Ni Si Th Al
4 3 2 1
direct
0.0000 0.0000 0.0000 Ni
0.5000 0.5000 0.0000 Ni
0.5000 0.0000 0.6317 Ni
0.0000 0.5000 0.3683 Ni
0.0000 0.5000 0.1255 Si
0.0000 0.0000 0.5000 Si
0.5000 0.0000 0.8745 Si
0.0000 0.5000 0.7585 Th
0.5000 0.0000 0.2415 Th
0.5000 0.5000 0.5000 Al
```

***

# 17
A plane-wave DFT calculation with PBE was carried out for crystalline ThAlSiNi6 at its relaxed geometry.

Results
Magnetization ... 0.00 μB per formula unit
ΔE_f (raw) ... -19 kJ/mol of atoms
DOS at the Fermi energy ... 8.578 states/eV/cell
Total DFT energy (no corrections) ... -5.892 eV/atom

The structure in POSCAR format:
```
ThAlSiNi6
1.0
-5.9409 -2.0893 1.7676
3.0442 -3.6730 5.8902
0.8255 7.2067 -0.8096
Th Ni Si Al
2 12 2 2
direct
0.7238 0.4738 0.4475 Th
0.2762 0.5262 0.5525 Th
0.5979 0.8479 0.1958 Ni
0.9143 0.6171 0.2284 Ni
0.9143 0.1113 0.2284 Ni
0.3141 0.6171 0.2284 Ni
0.0857 0.8887 0.7716 Ni
0.0857 0.3829 0.7716 Ni
0.6859 0.8887 0.7716 Ni
0.3141 0.1113 0.2284 Ni
0.0082 0.2582 0.0164 Ni
0.4021 0.1521 0.8042 Ni
0.6859 0.3829 0.7716 Ni
0.9918 0.7418 0.9836 Ni
0.5000 0.5000 0.0000 Si
0.5000 0.0000 0.0000 Si
0.0000 0.0000 0.5000 Al
0.5000 0.0000 0.5000 Al
```

***

# 18
A plane-wave DFT calculation with PBE was carried out for crystalline Th2AlSi4Ni3 at its relaxed geometry.

Results
Magnetization ... 0.00 μB per formula unit
ΔE_f (raw) ... -77 kJ/mol of atoms
DOS at the Fermi energy ... 3.271 states/eV/cell
Total DFT energy (no corrections) ... -6.557 eV/atom

The structure in POSCAR format:
```
Th2AlSi4Ni3
1.0
-1.2507 2.2536 3.1592
2.5579 -2.0173 2.4517
7.0623 6.6167 -1.9239
Ni Al Si Th
3 1 4 2
direct
0.0000 0.0000 0.5000 Ni
0.0000 0.5000 0.1181 Ni
0.5000 0.0000 0.8819 Ni
0.5000 0.5000 0.5000 Al
0.5000 0.5000 0.0000 Si
0.0000 0.0000 0.0000 Si
0.5000 0.0000 0.6434 Si
0.0000 0.5000 0.3566 Si
0.0000 0.5000 0.7591 Th
0.5000 0.0000 0.2409 Th
```

***

# 19
A plane-wave DFT calculation with PBE was carried out for crystalline Tm2AlSi4Ni3 at its relaxed geometry.

Results
Magnetization ... 0.00 μB per formula unit
ΔE_f (raw) ... -76 kJ/mol of atoms
DOS at the Fermi energy ... 3.973 states/eV/cell
Total DFT energy (no corrections) ... -5.956 eV/atom

The structure in POSCAR format:
```
Tm2AlSi4Ni3
1.0
-0.4369 0.7940 -3.7868
-0.3845 -3.8009 -0.7526
-9.9030 0.7447 1.2988
Si Tm Ni Al
4 2 3 1
direct
0.5000 0.5000 0.0000 Si
0.0000 0.0000 0.0000 Si
0.0000 0.5000 0.3499 Si
0.5000 0.0000 0.6501 Si
0.5000 0.0000 0.2392 Tm
0.0000 0.5000 0.7608 Tm
0.5000 0.0000 0.8759 Ni
0.0000 0.0000 0.5000 Ni
0.0000 0.5000 0.1241 Ni
0.5000 0.5000 0.5000 Al
```

***

# 20
A plane-wave DFT calculation with PBE was carried out for crystalline Tm3AlSi6Ni2 at its relaxed geometry.

Results
Magnetization ... 0.00 μB per formula unit
ΔE_f (raw) ... -27 kJ/mol of atoms
DOS at the Fermi energy ... 4.886 states/eV/cell
Total DFT energy (no corrections) ... -5.381 eV/atom

The structure in POSCAR format:
```
Tm3AlSi6Ni2
1.0
-0.6571 0.8594 -5.3557
-2.9970 -3.7933 2.5462
-5.8737 5.7430 1.6422
Tm Si Al Ni
3 6 1 2
direct
0.3333 0.6667 0.5884 Tm
0.0000 0.0000 0.0000 Tm
0.6667 0.3333 0.4116 Tm
0.3647 0.1824 0.7283 Si
0.1824 0.8176 0.2717 Si
0.6353 0.8176 0.2717 Si
0.1824 0.3647 0.2717 Si
0.8176 0.6353 0.7283 Si
0.8176 0.1824 0.7283 Si
0.0000 0.0000 0.5000 Al
0.6667 0.3333 0.9462 Ni
0.3333 0.6667 0.0538 Ni
```